# Sr3GeBr2 (PBE-GGA, relaxed)
data_Sr3GeBr2
_cell_length_a 9.303
_cell_length_b 6.455
_cell_length_c 13.725
_cell_angle_alpha 90.00
_cell_angle_beta 90.00
_cell_angle_gamma 90.00
_symmetry_space_group_name_H-M 'P n m a'
_symmetry_Int_Tables_number 62
loop_
_symmetry_equiv_pos_as_xyz
'x,y,z'
'-x,-y,-z'
'-x+1/2,-y,z+1/2'
'x+1/2,y,-z+1/2'
'x+1/2,-y+1/2,-z+1/2'
'-x+1/2,y+1/2,z+1/2'
'-x,y+1/2,-z'
'x,-y+1/2,z'
loop_
_atom_site_label
_atom_site_fract_x
_atom_site_fract_y
_atom_site_fract_z
Sr1 0.105 0.250 0.076
Sr2 0.122 0.250 0.749
Sr3 0.158 0.250 0.433
Ge1 0.128 0.750 0.095
Br1 0.115 0.750 0.423
Br2 0.123 0.750 0.744
# * energy relative to the elements, uncorrected: -1.30 eV/atom
# * crystal system: orthorhombic
# * raw total energy: -3.46 eV per atom